Entry 1:
A plane-wave DFT calculation with PBE-GGA was carried out for a relaxed CdRu2Br crystal.

Formation energy (no corrections), eV/atom: 0.72
ρ, g cm⁻³: 9.42
Calculated volume, Å³ per cell: 139.02

```
CdRu2Br
1.0
8.557 0.000 0.000
0.000 3.000 0.000
-1.108 0.000 5.415
Cd Ru Br
2 4 2
Direct
0.000 0.000 0.000
0.500 0.500 0.000
0.248 0.000 0.702
0.252 0.500 0.298
0.748 0.500 0.702
0.752 0.000 0.298
0.000 0.500 0.500
0.500 0.000 0.500
```

---

Entry 2:
A plane-wave DFT calculation with PBE-GGA was carried out for a relaxed TaCr2Co crystal.

ρ, g cm⁻³: 10.74
Calculated volume, Å³ per cell: 212.69
DFT formation energy, eV per atom: 0.023

```
TaCr2Co
1.0
5.969 0.000 0.000
0.000 5.969 0.000
0.000 0.000 5.969
Ta Cr Co
4 8 4
Direct
0.000 0.000 0.000
0.000 0.500 0.500
0.500 0.000 0.500
0.500 0.500 0.000
0.000 0.000 0.500
0.000 0.500 0.000
0.250 0.250 0.250
0.250 0.750 0.750
0.500 0.000 0.000
0.500 0.500 0.500
0.750 0.250 0.750
0.750 0.750 0.250
0.250 0.250 0.750
0.250 0.750 0.250
0.750 0.250 0.250
0.750 0.750 0.750
```

---

Entry 3:
A plane-wave DFT calculation with PBE-GGA was carried out for a relaxed MgMoW crystal.

ρ, g cm⁻³: 9.97
Calculated volume, Å³ per cell: 202.57
DFT formation energy, eV per atom: 0.265

```
MgMoW
1.0
3.205 0.000 0.000
0.000 4.513 0.000
0.000 0.000 14.007
Mg Mo W
4 4 4
Direct
0.000 0.000 0.000
0.000 0.500 0.500
0.500 0.000 0.500
0.500 0.500 0.000
0.000 0.000 0.672
0.000 0.500 0.172
0.500 0.000 0.172
0.500 0.500 0.672
0.000 0.000 0.327
0.000 0.500 0.827
0.500 0.000 0.827
0.500 0.500 0.327
```